(1)
ZnIn2CoGe: relaxed, PBE.

DFT formation energy	106	meV per atom

```
5
Lattice="5.006 0.000 0.000 0.000 5.006 0.000 0.000 0.000 4.422" Properties=species:S:1:pos:R:3 pbc="T T T"
Zn 0.000 0.000 0.000
In 0.000 2.503 2.211
In 2.503 0.000 2.211
Co 2.503 2.503 2.211
Ge 2.503 2.503 0.000
```

(2)
CoTe2C: relaxed, PBE.

ΔE_f (raw)	1.010	eV per atom

```
4
Lattice="1.953 1.128 6.491 -1.953 1.128 6.491 0.000 -2.256 6.491" Properties=species:S:1:pos:R:3 pbc="T T T"
Co 0.000 0.000 0.000
Te 0.000 0.000 7.778
Te 0.000 0.000 11.695
C 0.000 0.000 9.737
```

(3)
ThScTcRu: relaxed, PBE.

DFT formation energy	-349	meV per atom

```
4
Lattice="0.000 3.387 3.387 3.387 0.000 3.387 3.387 3.387 0.000" Properties=species:S:1:pos:R:3 pbc="T T T"
Th 0.000 0.000 0.000
Sc 3.387 3.387 3.387
Tc 5.080 5.080 5.080
Ru 1.693 1.693 1.693
```

(4)
Sb3PbCl: relaxed, PBE.

ΔE_f (raw)	0.843	eV per atom
energy above the most stable polymorph in this dataset	292.4	meV/atom

```
5
Lattice="5.826 0.000 0.000 0.000 5.826 0.000 0.000 0.000 5.826" Properties=species:S:1:pos:R:3 pbc="T T T"
Sb 0.000 0.000 2.913
Sb 0.000 2.913 0.000
Sb 2.913 0.000 0.000
Pb 0.000 0.000 0.000
Cl 2.913 2.913 2.913
```